Computed, not measured: an optimized crystal structure of Hg4AsSe2I at the PBE level of DFT.

POSCAR file:
```
Hg4AsSe2I
1.0
8.4465 -0.0959 -0.0165
-0.1018 8.4465 -0.0166
-4.1951 -4.1980 5.9221
Hg As Se I
8 2 4 2
direct
0.2628 0.7844 0.0237
0.7156 0.2372 0.4763
0.2844 0.7628 0.5237
0.7372 0.2156 0.9763
0.7388 0.7609 0.9955
0.7391 0.7612 0.5045
0.2609 0.2388 0.4955
0.2612 0.2391 0.0045
0.5000 0.5000 0.5000
0.0000 0.0000 0.0000
0.5000 0.0000 0.0000
0.5000 0.0000 0.5000
0.0000 0.0000 0.5000
0.5000 0.5000 0.0000
0.0000 0.5000 0.0000
0.0000 0.5000 0.5000
```

Calculated values
Formation energy from raw total energies in eV per atom: 0.043
Volume in Å³ per cell: 421.26
M_tot in μB per cell: 0.00
Space group: Imma